# GGA+U Li2TiNiO4, optimized geometry
# Crystal system ... monoclinic
# DFT total energy ... -51.8 eV/cell
data_Li2TiNiO4
_space_group_name_H-M_alt 'P 1 2/m 1'
_space_group_IT_number 10
_cell_length_a 5.109
_cell_length_b 2.972
_cell_length_c 5.133
_cell_angle_alpha 90.00
_cell_angle_beta 108.89
_cell_angle_gamma 90.00
loop_
_space_group_symop_operation_xyz
'x,y,z'
'-x,-y,-z'
'-x,y,-z'
'x,-y,z'
loop_
_atom_site_label
_atom_site_type_symbol
_atom_site_fract_x
_atom_site_fract_y
_atom_site_fract_z
Li1 Li 0.000 0.000 0.000
Li2 Li 0.500 0.500 0.000
Ti1 Ti 0.000 0.500 0.500
Ni1 Ni 0.500 0.000 0.500
O1 O 0.227 0.000 0.730
O2 O 0.242 0.500 0.273